No. 1
{"formula": "Tb6Y12Tm", "functional": "PBE", "state": "optimized geometry", "e_form_mev_per_atom": 255, "lattice": [[7.3378, 4.2365, 3.4370], [-7.3378, 4.2365, 3.4370], [0.0000, -8.4730, 3.4370]], "species": ["Tb", "Tb", "Tb", "Tb", "Tb", "Tb", "Y", "Y", "Y", "Y", "Y", "Y", "Y", "Y", "Y", "Y", "Y", "Y", "Tm"], "fractional_positions": [[0.0509, 0.3141, 0.4210], [0.3141, 0.4210, 0.0509], [0.4210, 0.0509, 0.3141], [0.5790, 0.9491, 0.6859], [0.6859, 0.5790, 0.9491], [0.9491, 0.6859, 0.5790], [0.0165, 0.9212, 0.3100], [0.0788, 0.6900, 0.9835], [0.2178, 0.6752, 0.3657], [0.3100, 0.0165, 0.9212], [0.3248, 0.6343, 0.7822], [0.3657, 0.2178, 0.6752], [0.6343, 0.7822, 0.3248], [0.6752, 0.3657, 0.2178], [0.6900, 0.9835, 0.0788], [0.7822, 0.3248, 0.6343], [0.9212, 0.3100, 0.0165], [0.9835, 0.0788, 0.6900], [0.5000, 0.5000, 0.5000]]}

No. 2
{"formula": "Sr3Tl3Rh2", "functional": "PBE", "state": "optimized geometry", "e_form_mev_per_atom": -336, "lattice": [[2.2585, -5.8500, 0.0000], [2.2585, 5.8500, 0.0000], [0.0000, 0.0000, 17.0798]], "species": ["Sr", "Sr", "Sr", "Sr", "Sr", "Sr", "Tl", "Tl", "Tl", "Tl", "Tl", "Tl", "Rh", "Rh", "Rh", "Rh"], "fractional_positions": [[0.0660, 0.9340, 0.6064], [0.0660, 0.9340, 0.8936], [0.3511, 0.6489, 0.7500], [0.6489, 0.3511, 0.2500], [0.9340, 0.0660, 0.1064], [0.9340, 0.0660, 0.3936], [0.3520, 0.6480, 0.5365], [0.3520, 0.6480, 0.9635], [0.3578, 0.6422, 0.2500], [0.6422, 0.3578, 0.7500], [0.6480, 0.3520, 0.0365], [0.6480, 0.3520, 0.4635], [0.2279, 0.7721, 0.1133], [0.2279, 0.7721, 0.3867], [0.7721, 0.2279, 0.6133], [0.7721, 0.2279, 0.8867]]}

No. 3
{"formula": "Cs2AuI3", "functional": "PBE", "state": "optimized geometry", "formation_energy_uncorrected_mev_per_atom": -1048, "lattice": [[9.8970, 0.0000, 0.0000], [0.0000, 6.3758, 0.0000], [0.0000, 0.0000, 20.0866]], "species": ["Cs", "Cs", "Cs", "Cs", "Cs", "Cs", "Cs", "Cs", "Au", "Au", "Au", "Au", "I", "I", "I", "I", "I", "I", "I", "I", "I", "I", "I", "I"], "fractional_positions": [[0.1354, 0.2500, 0.2070], [0.1800, 0.7500, 0.4453], [0.3200, 0.2500, 0.9453], [0.3646, 0.7500, 0.7070], [0.6354, 0.2500, 0.2930], [0.6800, 0.7500, 0.0547], [0.8200, 0.2500, 0.5547], [0.8646, 0.7500, 0.7930], [0.2149, 0.2500, 0.6538], [0.2851, 0.7500, 0.1538], [0.7149, 0.2500, 0.8462], [0.7851, 0.7500, 0.3462], [0.0085, 0.7500, 0.6163], [0.1097, 0.2500, 0.7729], [0.1415, 0.7500, 0.0455], [0.3585, 0.2500, 0.5455], [0.3903, 0.7500, 0.2729], [0.4915, 0.2500, 0.1163], [0.5085, 0.7500, 0.8837], [0.6097, 0.2500, 0.7271], [0.6415, 0.7500, 0.4545], [0.8585, 0.2500, 0.9545], [0.8903, 0.7500, 0.2271], [0.9915, 0.2500, 0.3837]]}

No. 4
{"formula": "LiPrSmMn", "functional": "PBE", "state": "optimized geometry", "e_form_mev_per_atom": 167, "lattice": [[0.0000, 3.6789, 3.6789], [3.6789, 0.0000, 3.6789], [3.6789, 3.6789, 0.0000]], "species": ["Li", "Pr", "Sm", "Mn"], "fractional_positions": [[0.0000, 0.0000, 0.0000], [0.7500, 0.7500, 0.7500], [0.2500, 0.2500, 0.2500], [0.5000, 0.5000, 0.5000]]}

No. 5
{"formula": "LiAcAl2", "functional": "PBE", "state": "optimized geometry", "e_form_mev_per_atom": -247, "lattice": [[6.9860, 0.0000, 0.0000], [0.0000, 2.4194, 5.6837], [0.0000, -2.4194, 5.6837]], "species": ["Li", "Li", "Ac", "Ac", "Al", "Al", "Al", "Al"], "fractional_positions": [[0.1892, 0.0000, 0.0000], [0.8108, 0.0000, 0.0000], [0.0000, 0.2799, 0.2799], [0.5000, 0.4617, 0.4617], [0.0000, 0.5766, 0.5766], [0.3088, 0.7444, 0.7444], [0.5000, 0.1699, 0.1699], [0.6912, 0.7444, 0.7444]]}

No. 6
{"formula": "LaPr2Lu", "functional": "PBE", "state": "optimized geometry", "e_form_mev_per_atom": 141, "lattice": [[0.0000, 4.1215, 4.1215], [4.1215, 0.0000, 4.1215], [4.1215, 4.1215, 0.0000]], "species": ["La", "Pr", "Pr", "Lu"], "fractional_positions": [[0.0000, 0.0000, 0.0000], [0.2500, 0.2500, 0.2500], [0.7500, 0.7500, 0.7500], [0.5000, 0.5000, 0.5000]]}

No. 7
{"formula": "YPa6Se8", "functional": "PBE", "state": "optimized geometry", "formation_energy_uncorrected_mev_per_atom": -1354, "lattice": [[0.0000, 5.7231, 5.7231], [5.7231, 0.0000, 5.7231], [5.7231, 5.7231, 0.0000]], "species": ["Y", "Pa", "Pa", "Pa", "Pa", "Pa", "Pa", "Se", "Se", "Se", "Se", "Se", "Se", "Se", "Se"], "fractional_positions": [[0.0000, 0.0000, 0.0000], [0.0000, 0.0000, 0.5000], [0.0000, 0.5000, 0.0000], [0.0000, 0.5000, 0.5000], [0.5000, 0.0000, 0.0000], [0.5000, 0.0000, 0.5000], [0.5000, 0.5000, 0.0000], [0.2500, 0.2500, 0.2500], [0.2575, 0.2575, 0.7425], [0.2575, 0.7425, 0.2575], [0.2575, 0.7425, 0.7425], [0.7425, 0.2575, 0.2575], [0.7425, 0.2575, 0.7425], [0.7425, 0.7425, 0.2575], [0.7500, 0.7500, 0.7500]]}

No. 8
{"formula": "Tb5YTl4", "functional": "PBE", "state": "optimized geometry", "e_form_mev_per_atom": -282, "lattice": [[3.6402, 0.0000, 0.0000], [0.0000, 3.6402, 0.0000], [0.0000, 0.0000, 21.6768]], "species": ["Tb", "Tb", "Tb", "Tb", "Tb", "Y", "Tl", "Tl", "Tl", "Tl"], "fractional_positions": [[0.0000, 0.0000, 0.0000], [0.0000, 0.0000, 0.1933], [0.0000, 0.0000, 0.3852], [0.0000, 0.0000, 0.6148], [0.0000, 0.0000, 0.8067], [0.5000, 0.5000, 0.5000], [0.5000, 0.5000, 0.0963], [0.5000, 0.5000, 0.2892], [0.5000, 0.5000, 0.7108], [0.5000, 0.5000, 0.9037]]}

Short version: total energy = -5.525, -3.692, -2.654, -4.978, -3.624, -4.611, -7.442, -4.190 eV/atom, in the order given.